1.
Entry from the Alexandria database: Al2ZnSi at its PBEsol-relaxed geometry (SCAN).

Summary:
Density ... 3.86 g cm⁻³
Uncorrected formation energy ... 283.1 meV per atom
E ... -37.90 eV per cell
Space-group type ... F-43m, No. 216

```
Al2ZnSi
1.0
-1.531 -2.988 2.961
1.921 -4.032 0.308
2.451 -1.043 3.598
Si Al Zn
1 2 1
Cartesian
1.420 -4.031 3.434
0.000 0.000 0.000
0.710 -2.016 1.717
2.130 -6.047 5.151
```

***

2.
Entry from the Alexandria database: Al2ZnSi at its PBEsol-relaxed geometry (SCAN).

Summary:
Density ... 4.01 g cm⁻³
Uncorrected formation energy ... 161.3 meV per atom
E ... -38.39 eV per cell
Space-group type ... Cm, No. 8

```
Al2ZnSi
1.0
-2.210 1.242 -1.241
-2.408 -3.933 0.352
-0.028 1.481 4.743
Al Zn Si
2 1 1
Cartesian
-2.325 0.623 1.554
-4.599 -1.141 3.837
-2.410 -1.969 2.321
-2.296 0.203 4.292
```

***

3.
Entry from the Alexandria database: AlZn2Si at its PBEsol-relaxed geometry (SCAN).

Summary:
Density ... 5.06 g cm⁻³
Uncorrected formation energy ... 218.2 meV per atom
E ... -43.93 eV per cell
Space-group type ... C2/m, No. 12

```
AlZn2Si
1.0
-1.283 1.725 1.778
-3.729 -0.871 -2.251
1.575 -4.224 3.249
Si Zn Al
1 2 1
Cartesian
-2.506 0.427 -0.237
0.788 -2.112 1.624
-1.718 -1.685 1.388
0.000 0.000 0.000
```

***

4.
Entry from the Alexandria database: AlZn2Si at its PBEsol-relaxed geometry (SCAN).

Summary:
Density ... 4.98 g cm⁻³
Uncorrected formation energy ... 281.9 meV per atom
E ... -43.67 eV per cell
Space-group type ... P4/mmm, No. 123

```
AlZn2Si
1.0
2.610 0.000 0.000
0.000 4.873 0.000
0.000 0.000 4.873
Si Zn Al
1 2 1
Cartesian
1.305 0.000 0.000
0.000 2.436 0.000
0.000 0.000 2.436
1.305 2.436 2.436
```

***

5.
Entry from the Alexandria database: ZrAl2Si at its PBEsol-relaxed geometry (SCAN).

Summary:
Density ... 4.38 g cm⁻³
Uncorrected formation energy ... -472.7 meV per atom
E ... -58.11 eV per cell
Space-group type ... I4/mmm, No. 139

```
ZrAl2Si
1.0
-3.506 1.505 -0.262
-1.527 -3.469 0.511
2.474 1.655 4.314
Al Zr Si
2 1 1
Cartesian
-1.775 1.089 2.088
-0.785 -1.398 2.475
-2.517 -0.982 0.124
0.000 0.000 0.000
```

***

6.
Entry from the Alexandria database: Zr3Al3Si2 at its PBEsol-relaxed geometry (SCAN).

Summary:
Density ... 4.87 g cm⁻³
Uncorrected formation energy ... -235.4 meV per atom
E ... -137.27 eV per cell
Space-group type ... P-62m, No. 189
Relative energy among the computed polymorphs ... 435 meV/atom

```
Zr3Al3Si2
1.0
-1.123 1.043 -2.652
1.576 -6.351 -3.164
-6.484 0.989 3.134
Si Zr Al
2 3 3
Cartesian
-3.797 -1.458 1.035
-1.111 -3.904 -1.065
1.186 -4.779 -2.381
-4.878 0.744 2.358
-1.215 -1.328 -0.008
-3.482 -2.670 -1.344
-3.186 0.922 -0.057
0.077 -2.050 -2.607
```

***

7.
Entry from the Alexandria database: Zr2Al3Si at its PBEsol-relaxed geometry (SCAN).

Summary:
Density ... 4.11 g cm⁻³
Uncorrected formation energy ... -56.3 meV per atom
E ... -95.01 eV per cell
Space-group type ... P6/mmm, No. 191
Relative energy among the computed polymorphs ... 468 meV/atom

```
Zr2Al3Si
1.0
4.994 0.000 0.000
0.000 5.219 0.000
0.000 -2.610 4.520
Zr Si Al
2 1 3
Cartesian
0.000 0.000 3.013
0.000 2.610 1.507
0.000 0.000 0.000
2.497 1.305 2.260
2.497 2.610 0.000
2.497 -1.305 2.260
```

***

8.
Entry from the Alexandria database: ZrAl6Si at its PBEsol-relaxed geometry (SCAN).

Summary:
Density ... 3.08 g cm⁻³
Uncorrected formation energy ... 195.0 meV per atom
E ... -85.67 eV per cell
Space-group type ... P4/mmm, No. 123

```
ZrAl6Si
1.0
3.752 0.000 0.000
0.000 3.752 0.000
0.000 0.000 10.758
Al Zr Si
6 1 1
Cartesian
1.876 0.000 7.526
0.000 1.876 3.232
1.876 0.000 3.232
1.876 1.876 1.242
0.000 1.876 7.526
1.876 1.876 9.516
0.000 0.000 5.379
0.000 0.000 0.000
```

***

9.
Entry from the Alexandria database: ZrAl2Si at its PBEsol-relaxed geometry (SCAN).

Summary:
Density ... 3.75 g cm⁻³
Uncorrected formation energy ... 8.2 meV per atom
E ... -56.19 eV per cell
Space-group type ... P3m1, No. 156

```
ZrAl2Si
1.0
3.750 0.000 0.000
-1.875 3.247 0.000
0.000 0.000 6.302
Al Zr Si
2 1 1
Cartesian
0.000 0.000 2.781
1.875 1.082 4.462
0.000 2.165 0.178
1.875 1.082 1.748
```

***

10.
Entry from the Alexandria database: Zr2AlSi2 at its PBEsol-relaxed geometry (SCAN).

Summary:
Density ... 5.11 g cm⁻³
Uncorrected formation energy ... -485.9 meV per atom
E ... -183.22 eV per cell
Space-group type ... C2/c, No. 15

```
Zr2AlSi2
1.0
5.324 0.000 0.000
-2.662 5.034 -0.013
0.000 -2.163 6.441
Si Zr Al
4 4 2
Cartesian
1.915 1.481 0.843
3.409 0.399 4.063
-0.747 2.472 2.364
0.747 1.390 5.585
0.690 0.177 2.966
1.972 2.694 3.461
-1.972 3.776 0.241
4.633 -0.905 6.187
1.958 -1.622 4.831
3.366 -0.541 1.610
```

***

11.
Entry from the Alexandria database: ZrAl2Si at its PBEsol-relaxed geometry (SCAN).

Summary:
Density ... 4.03 g cm⁻³
Uncorrected formation energy ... 244.1 meV per atom
E ... -110.48 eV per cell
Space-group type ... P6_3/mmc, No. 194

```
ZrAl2Si
1.0
4.702 0.000 0.000
-2.351 4.072 0.000
0.000 0.000 7.464
Zr Al Si
2 4 2
Cartesian
0.000 0.000 3.732
0.000 0.000 0.000
2.351 1.357 4.348
0.000 2.714 3.116
0.000 2.714 0.616
2.351 1.357 6.848
0.000 2.714 5.598
2.351 1.357 1.866
```

***

12.
Entry from the Alexandria database: Zr3Al3Si2 at its PBEsol-relaxed geometry (SCAN).

Summary:
Density ... 4.89 g cm⁻³
Uncorrected formation energy ... -670.1 meV per atom
E ... -140.74 eV per cell
Space-group type ... P-62m, No. 189
Relative energy among the computed polymorphs ... 0 meV/atom

```
Zr3Al3Si2
1.0
3.742 0.000 0.000
0.000 6.558 0.000
0.000 -3.279 5.680
Zr Al Si
3 3 2
Cartesian
1.871 -1.256 2.176
1.871 2.023 3.504
1.871 2.513 0.000
0.000 0.803 1.390
0.000 -2.477 4.290
0.000 4.953 0.000
0.000 0.000 3.786
0.000 3.279 1.893
```

***

13.
Entry from the Alexandria database: ZrAl5Si at its PBEsol-relaxed geometry (SCAN).

Summary:
Density ... 3.35 g cm⁻³
Uncorrected formation energy ... 88.2 meV per atom
E ... -78.86 eV per cell
Space-group type ... P4/mmm, No. 123

```
ZrAl5Si
1.0
3.860 0.000 0.000
0.000 3.860 0.000
0.000 0.000 8.458
Zr Si Al
1 1 5
Cartesian
0.000 0.000 4.229
0.000 0.000 0.000
1.930 0.000 2.096
1.930 0.000 6.362
0.000 1.930 6.362
0.000 1.930 2.096
1.930 1.930 0.000
```

***

14.
Entry from the Alexandria database: ZrAl2Si at its PBEsol-relaxed geometry (SCAN).

Summary:
Density ... 3.88 g cm⁻³
Uncorrected formation energy ... 372.2 meV per atom
E ... -54.73 eV per cell
Space-group type ... P-6m2, No. 187

```
ZrAl2Si
1.0
-1.077 1.756 -2.183
0.559 -2.899 -0.544
-8.869 -2.198 2.608
Al Si Zr
2 1 1
Cartesian
-2.595 -0.643 0.763
-6.275 -1.555 1.845
-4.421 -2.446 0.214
0.000 0.000 0.000
```

***

15.
Entry from the Alexandria database: ZrAl2Si at its PBEsol-relaxed geometry (SCAN).

Summary:
Density ... 4.34 g cm⁻³
Uncorrected formation energy ... -405.7 meV per atom
E ... -231.36 eV per cell
Space-group type ... Pna2_1, No. 33

```
ZrAl2Si
1.0
-0.039 -5.019 -1.196
0.413 -1.286 5.383
-9.238 -0.092 0.686
Al Si Zr
8 4 4
Cartesian
-3.229 -1.208 1.797
-3.572 -3.354 -0.106
-1.017 -0.819 0.304
-7.649 -2.883 4.597
-5.438 -2.589 3.081
-5.577 -5.371 3.844
-1.157 -3.697 1.044
-7.993 -5.123 2.671
-3.344 -4.019 2.565
-8.177 -4.452 -0.029
-5.668 -1.918 0.384
-0.835 -1.485 2.978
-7.982 -2.324 1.882
-3.147 -1.763 4.507
-0.826 -4.249 3.735
-5.660 -4.811 1.110
```

***

16.
Entry from the Alexandria database: Zr2Al3Si at its PBEsol-relaxed geometry (SCAN).

Summary:
Density ... 4.70 g cm⁻³
Uncorrected formation energy ... -524.1 meV per atom
E ... -97.81 eV per cell
Space-group type ... Cmmm, No. 65
Relative energy among the computed polymorphs ... 0 meV/atom

```
Zr2Al3Si
1.0
3.961 0.000 0.000
0.000 4.112 0.000
0.000 2.056 6.328
Zr Al Si
2 3 1
Cartesian
1.981 4.112 1.853
1.981 2.056 4.475
0.000 4.112 4.110
0.000 2.056 2.217
1.981 2.056 0.000
0.000 0.000 0.000
```

***

17.
Entry from the Alexandria database: ZrAl2Si at its PBEsol-relaxed geometry (SCAN).

Summary:
Density ... 4.32 g cm⁻³
Uncorrected formation energy ... -432.9 meV per atom
E ... -231.80 eV per cell
Space-group type ... Pnma, No. 62

```
ZrAl2Si
1.0
5.063 0.000 0.000
0.000 6.882 0.000
0.000 0.000 7.649
Al Si Zr
8 4 4
Cartesian
3.033 2.170 0.394
2.030 4.712 4.219
4.561 5.611 3.430
3.033 2.170 3.430
2.030 4.712 7.255
4.561 5.611 0.394
0.502 1.271 7.255
0.502 1.271 4.219
4.504 0.790 1.912
0.558 6.091 5.737
1.973 2.651 5.737
3.090 4.231 1.912
1.941 6.702 1.912
3.121 0.180 5.737
0.590 3.261 1.912
4.473 3.621 5.737
```

***

18.
Entry from the Alexandria database: Zr4Al2Si at its PBEsol-relaxed geometry (SCAN).

Summary:
Density ... 5.36 g cm⁻³
Uncorrected formation energy ... 33.3 meV per atom
E ... -148.08 eV per cell
Space-group type ... P-3m1, No. 164
Relative energy among the computed polymorphs ... 6 meV/atom

```
Zr4Al2Si
1.0
2.988 0.000 0.000
-1.494 2.587 0.000
0.000 0.000 17.915
Si Zr Al
1 4 2
Cartesian
0.000 0.000 8.958
1.494 0.862 11.229
0.000 1.725 6.687
1.494 0.862 1.417
0.000 1.725 16.498
1.494 0.862 14.057
0.000 1.725 3.859
```

***

19.
Entry from the Alexandria database: Zr2AlSi2 at its PBEsol-relaxed geometry (SCAN).

Summary:
Density ... 5.29 g cm⁻³
Uncorrected formation energy ... -760.3 meV per atom
E ... -185.97 eV per cell
Space-group type ... C2/c, No. 15

```
Zr2AlSi2
1.0
-2.486 1.270 -4.394
-2.313 -3.295 3.439
-1.454 6.514 2.705
Si Zr Al
4 4 2
Cartesian
-2.089 5.591 3.628
-2.031 2.676 1.092
-4.221 1.813 0.658
-4.163 -1.102 -1.877
-2.664 0.271 2.425
-2.184 0.615 -0.831
-3.588 4.218 -0.674
-4.068 3.874 2.581
-1.569 5.130 1.183
-2.370 2.654 -2.872
```

***

20.
Entry from the Alexandria database: ZrAl2Si at its PBEsol-relaxed geometry (SCAN).

Summary:
Density ... 3.87 g cm⁻³
Uncorrected formation energy ... -0.6 meV per atom
E ... -112.44 eV per cell
Space-group type ... P-3m1, No. 164

```
ZrAl2Si
1.0
4.516 0.000 0.000
-2.258 3.911 0.000
0.000 0.000 8.409
Zr Al Si
2 4 2
Cartesian
0.000 2.608 3.503
2.258 1.304 4.906
0.000 2.608 0.693
2.258 1.304 7.716
0.000 2.608 6.493
2.258 1.304 1.916
0.000 0.000 5.440
0.000 0.000 2.969
```